1.
# YCuP2 | Alexandria via LeMat-Bulk | PBE-GGA | relaxed
data_YCuP2
_cell_length_a 5.419
_cell_length_b 5.419
_cell_length_c 5.419
_cell_angle_alpha 140.52
_cell_angle_beta 136.11
_cell_angle_gamma 60.50
_space_group_name_H-M_alt 'P 1'
_space_group_IT_number 1
loop_
_space_group_symop_operation_xyz
'x,y,z'
loop_
_atom_site_label
_atom_site_fract_x
_atom_site_fract_y
_atom_site_fract_z
_atom_site_occupancy
P1 0.035 0.035 0.000 1
P2 0.753 0.253 0.500 1
Y1 0.491 0.491 0.000 1
Cu1 0.221 0.721 0.500 1
# - DFT formation energy: -1.7 eV per formula unit
# - Crystal system: orthorhombic

---

2.
# CdHRh3 | Alexandria via LeMat-Bulk | PBE-GGA | relaxed
data_CdHRh3
_cell_length_a 16.817
_cell_length_b 6.994
_cell_length_c 6.994
_cell_angle_alpha 156.26
_cell_angle_beta 153.72
_cell_angle_gamma 26.28
_space_group_name_H-M_alt 'P 1'
_space_group_IT_number 1
loop_
_space_group_symop_operation_xyz
'x,y,z'
loop_
_atom_site_label
_atom_site_fract_x
_atom_site_fract_y
_atom_site_fract_z
_atom_site_occupancy
Rh1 0.808 0.478 0.522 1
Rh2 0.306 0.726 0.274 1
Rh3 0.192 0.522 0.478 1
Rh4 0.471 0.364 0.636 1
Rh5 0.529 0.636 0.364 1
Rh6 0.694 0.274 0.726 1
Cd1 0.889 0.709 0.291 1
Cd2 0.111 0.291 0.709 1
H1 0.941 0.868 0.132 1
H2 0.059 0.132 0.868 1
# - Crystal system: monoclinic
# - Uncorrected energy: -5.17 eV per atom

---

What did the first record say?
# YCuP2 | Alexandria via LeMat-Bulk | PBE-GGA | relaxed
data_YCuP2
_cell_length_a 5.419
_cell_length_b 5.419
_cell_length_c 5.419
_cell_angle_alpha 140.52
_cell_angle_beta 136.11
_cell_angle_gamma 60.50
_space_group_name_H-M_alt 'P 1'
_space_group_IT_number 1
loop_
_space_group_symop_operation_xyz
'x,y,z'
loop_
_atom_site_label
_atom_site_fract_x
_atom_site_fract_y
_atom_site_fract_z
_atom_site_occupancy
P1 0.035 0.035 0.000 1
P2 0.753 0.253 0.500 1
Y1 0.491 0.491 0.000 1
Cu1 0.221 0.721 0.500 1
# - DFT formation energy: -1.7 eV per formula unit
# - Crystal system: orthorhombic

---

What did the first record say?
# YCuP2 | Alexandria via LeMat-Bulk | PBE-GGA | relaxed
data_YCuP2
_cell_length_a 5.419
_cell_length_b 5.419
_cell_length_c 5.419
_cell_angle_alpha 140.52
_cell_angle_beta 136.11
_cell_angle_gamma 60.50
_space_group_name_H-M_alt 'P 1'
_space_group_IT_number 1
loop_
_space_group_symop_operation_xyz
'x,y,z'
loop_
_atom_site_label
_atom_site_fract_x
_atom_site_fract_y
_atom_site_fract_z
_atom_site_occupancy
P1 0.035 0.035 0.000 1
P2 0.753 0.253 0.500 1
Y1 0.491 0.491 0.000 1
Cu1 0.221 0.721 0.500 1
# - DFT formation energy: -1.7 eV per formula unit
# - Crystal system: orthorhombic